1.
{"formula": "SnW2S2", "functional": "PBE", "state": "optimized geometry", "raw_formation_energy_ev_per_atom": 0.515, "relative_energy_mev_per_atom": 270, "lattice_angstrom": [[7.749, 0.000, 0.000], [0.000, 7.749, 0.000], [0.000, 0.000, 2.907]], "species": ["Sn", "Sn", "W", "W", "W", "W", "S", "S", "S", "S"], "frac_coords": [[0.000, 0.000, 0.000], [0.500, 0.500, 0.000], [0.130, 0.370, 0.500], [0.370, 0.870, 0.500], [0.630, 0.130, 0.500], [0.870, 0.630, 0.500], [0.131, 0.631, 0.000], [0.369, 0.131, 0.000], [0.631, 0.869, 0.000], [0.869, 0.369, 0.000]]}

---

2.
{"formula": "SnWS3", "functional": "PBE", "state": "optimized geometry", "raw_formation_energy_ev_per_atom": 1.286, "relative_energy_mev_per_atom": 1346, "lattice_angstrom": [[4.890, 0.000, 0.000], [0.000, 4.890, 0.000], [0.000, 0.000, 4.890]], "species": ["Sn", "W", "S", "S", "S"], "frac_coords": [[0.000, 0.000, 0.000], [0.500, 0.500, 0.500], [0.000, 0.000, 0.500], [0.000, 0.500, 0.000], [0.500, 0.000, 0.000]]}